Entry one
! Ho4ZnRu, relaxed, DFT PBE; values from VASP
&SYSTEM
  ibrav = 0, nat = 6, ntyp = 3
/
ATOMIC_SPECIES
Ho 164.93 Ho.upf
Zn 65.41 Zn.upf
Ru 101.07 Ru.upf
CELL_PARAMETERS angstrom
3.4156 -3.4157 0.0000
3.4156 3.4157 0.0000
-0.0137 0.0000 6.8704
ATOMIC_POSITIONS crystal
Ho 0.9996 0.4995 0.2395
Ho 0.0004 0.5005 0.7605
Ho 0.4995 0.9996 0.2395
Ho 0.5005 0.0004 0.7605
Zn 0.0000 0.0000 0.5000
Ru 0.5000 0.5000 0.0000
! DOS at the Fermi energy	7.38	states/eV per cell

***

Entry two
! Ho4ZnRu, relaxed, DFT PBE; values from VASP
&SYSTEM
  ibrav = 0, nat = 24, ntyp = 3
/
ATOMIC_SPECIES
Ho 164.93 Ho.upf
Zn 65.41 Zn.upf
Ru 101.07 Ru.upf
CELL_PARAMETERS angstrom
0.0000 6.6751 6.6751
6.6751 0.0000 6.6751
6.6751 6.6751 0.0000
ATOMIC_POSITIONS crystal
Ho 0.0582 0.0582 0.4418
Ho 0.0582 0.4418 0.0582
Ho 0.0582 0.4418 0.4418
Ho 0.1880 0.1880 0.8120
Ho 0.1880 0.8120 0.1880
Ho 0.1880 0.8120 0.8120
Ho 0.1992 0.6002 0.6002
Ho 0.4418 0.0582 0.0582
Ho 0.4418 0.0582 0.4418
Ho 0.4418 0.4418 0.0582
Ho 0.6002 0.1992 0.6002
Ho 0.6002 0.6002 0.1992
Ho 0.6002 0.6002 0.6002
Ho 0.8120 0.1880 0.1880
Ho 0.8120 0.1880 0.8120
Ho 0.8120 0.8120 0.1880
Zn 0.5187 0.8271 0.8271
Zn 0.8271 0.5187 0.8271
Zn 0.8271 0.8271 0.5187
Zn 0.8271 0.8271 0.8271
Ru 0.3899 0.3899 0.3899
Ru 0.3899 0.3899 0.8303
Ru 0.3899 0.8303 0.3899
Ru 0.8303 0.3899 0.3899
! DOS at the Fermi energy	28.88	states/eV per cell

***

In kJ/mol of atoms, relative to the most stable structure: entry one 16.2; entry two 0.0.

***

Entry one
! Ho2ZnRu, relaxed, DFT PBE; values from VASP
&SYSTEM
  ibrav = 0, nat = 4, ntyp = 3
/
ATOMIC_SPECIES
Ho 164.93 Ho.upf
Zn 65.41 Zn.upf
Ru 101.07 Ru.upf
CELL_PARAMETERS angstrom
1.7832 1.0295 8.3158
-1.7832 1.0295 8.3158
0.0000 -2.0591 8.3158
ATOMIC_POSITIONS crystal
Ho 0.2418 0.2418 0.2418
Ho 0.7582 0.7582 0.7582
Zn 0.0000 0.0000 0.0000
Ru 0.5000 0.5000 0.5000
! DOS at the Fermi energy	4.55	states/eV per cell

***

Entry two
! Ho2ZnRu, relaxed, DFT PBE; values from VASP
&SYSTEM
  ibrav = 0, nat = 4, ntyp = 3
/
ATOMIC_SPECIES
Ho 164.93 Ho.upf
Zn 65.41 Zn.upf
Ru 101.07 Ru.upf
CELL_PARAMETERS angstrom
3.4290 0.0000 0.0000
0.0000 3.4290 0.0000
0.0000 0.0000 7.2046
ATOMIC_POSITIONS crystal
Ho 0.0000 0.0000 0.2292
Ho 0.0000 0.0000 0.7708
Zn 0.5000 0.5000 0.5000
Ru 0.5000 0.5000 0.0000
! DOS at the Fermi energy	2.66	states/eV per cell

***

In kJ/mol of atoms, relative to the most stable structure: entry one 27.0; entry two 0.0.

***

Entry one
! Ho6ZnRu, relaxed, DFT PBE; values from VASP
&SYSTEM
  ibrav = 0, nat = 8, ntyp = 3
/
ATOMIC_SPECIES
Ho 164.93 Ho.upf
Zn 65.41 Zn.upf
Ru 101.07 Ru.upf
CELL_PARAMETERS angstrom
6.6597 0.0000 0.0000
3.3293 5.7753 0.0000
3.3194 1.9250 6.2919
ATOMIC_POSITIONS crystal
Ho 0.0579 0.4201 0.2519
Ho 0.2303 0.9425 0.7483
Ho 0.4199 0.7702 0.2518
Ho 0.5801 0.2298 0.7482
Ho 0.7697 0.0575 0.2517
Ho 0.9421 0.5799 0.7481
Zn 0.5000 0.5000 0.0000
Ru 0.0000 0.0000 0.5000
! DOS at the Fermi energy	11.33	states/eV per cell

***

Entry two
! Ho6ZnRu, relaxed, DFT PBE; values from VASP
&SYSTEM
  ibrav = 0, nat = 8, ntyp = 3
/
ATOMIC_SPECIES
Ho 164.93 Ho.upf
Zn 65.41 Zn.upf
Ru 101.07 Ru.upf
CELL_PARAMETERS angstrom
-2.4712 2.4712 8.5747
2.4712 -2.4712 8.5747
2.4712 2.4712 -8.5747
ATOMIC_POSITIONS crystal
Ho 0.0973 0.5973 0.5000
Ho 0.2494 0.2494 0.0000
Ho 0.4027 0.9027 0.5000
Ho 0.5973 0.0973 0.5000
Ho 0.7506 0.7506 0.0000
Ho 0.9027 0.4027 0.5000
Zn 0.0000 0.0000 0.0000
Ru 0.5000 0.5000 0.0000
! DOS at the Fermi energy	9.13	states/eV per cell

***

In kJ/mol of atoms, relative to the most stable structure: entry one 12.9; entry two 0.0.

***

Entry one
! Ho3ZnRu, relaxed, DFT PBE; values from VASP
&SYSTEM
  ibrav = 0, nat = 20, ntyp = 3
/
ATOMIC_SPECIES
Ho 164.93 Ho.upf
Zn 65.41 Zn.upf
Ru 101.07 Ru.upf
CELL_PARAMETERS angstrom
7.9485 0.0000 0.0000
0.0000 5.7542 0.0000
-0.4093 0.0000 10.8765
ATOMIC_POSITIONS crystal
Ho 0.0271 0.1235 0.3530
Ho 0.0271 0.3765 0.8530
Ho 0.2618 0.5851 0.4250
Ho 0.2618 0.9149 0.9250
Ho 0.3781 0.0986 0.6229
Ho 0.3781 0.4014 0.1229
Ho 0.6219 0.5986 0.8771
Ho 0.6219 0.9014 0.3771
Ho 0.7382 0.0851 0.0750
Ho 0.7382 0.4149 0.5750
Ho 0.9729 0.6235 0.1470
Ho 0.9729 0.8765 0.6470
Zn 0.3234 0.5990 0.7028
Zn 0.3234 0.9010 0.2028
Zn 0.6766 0.0990 0.7972
Zn 0.6766 0.4010 0.2972
Ru 0.0853 0.1554 0.0967
Ru 0.0853 0.3446 0.5967
Ru 0.9147 0.6554 0.4033
Ru 0.9147 0.8446 0.9033
! DOS at the Fermi energy	15.62	states/eV per cell

***

Entry two
! Ho3ZnRu, relaxed, DFT PBE; values from VASP
&SYSTEM
  ibrav = 0, nat = 10, ntyp = 3
/
ATOMIC_SPECIES
Ho 164.93 Ho.upf
Zn 65.41 Zn.upf
Ru 101.07 Ru.upf
CELL_PARAMETERS angstrom
0.0000 4.7536 7.8385
3.1709 0.0000 7.8385
3.1709 4.7536 0.0000
ATOMIC_POSITIONS crystal
Ho 0.1956 0.1956 0.8044
Ho 0.2095 0.5772 0.4228
Ho 0.4228 0.7905 0.2095
Ho 0.5772 0.2095 0.7905
Ho 0.7905 0.4228 0.5772
Ho 0.8044 0.8044 0.1956
Zn 0.1947 0.8053 0.8053
Zn 0.8053 0.1947 0.1947
Ru 0.2500 0.2500 0.2500
Ru 0.7500 0.7500 0.7500
! DOS at the Fermi energy	7.16	states/eV per cell

***

In kJ/mol of atoms, relative to the most stable structure: entry one 8.2; entry two 0.0.